# BaHg2Te2 (PBE-GGA, relaxed)
data_BaHg2Te2
_chemical_formula_sum 'Ba2 Hg4 Te4'
_space_group_name_H-M_alt 'P 1'
_space_group_IT_number 1
_cell_length_a 8.805
_cell_length_b 8.805
_cell_length_c 4.381
_cell_angle_alpha 90.00
_cell_angle_beta 90.00
_cell_angle_gamma 90.00
loop_
_space_group_symop_operation_xyz
'x,y,z'
loop_
_atom_site_label
_atom_site_type_symbol
_atom_site_fract_x
_atom_site_fract_y
_atom_site_fract_z
Te1 Te 0.351 0.851 0.000
Te2 Te 0.851 0.649 0.000
Te3 Te 0.649 0.149 0.000
Te4 Te 0.149 0.351 0.000
Hg1 Hg 0.148 0.648 0.500
Hg2 Hg 0.648 0.852 0.500
Hg3 Hg 0.852 0.352 0.500
Hg4 Hg 0.352 0.148 0.500
Ba1 Ba 0.000 0.000 0.000
Ba2 Ba 0.500 0.500 0.000
# Final energy in eV per atom: -2.199
# Energy relative to the elements, uncorrected in eV per atom: -0.4375
# Theoretical density in g/cm³: 7.76
# Symmetry: P4/mbm


# Ba2HgTe (PBE-GGA, relaxed)
data_Ba2HgTe
_chemical_formula_sum 'Ba2 Hg1 Te1'
_space_group_name_H-M_alt 'P 1'
_space_group_IT_number 1
_cell_length_a 6.193
_cell_length_b 6.193
_cell_length_c 6.193
_cell_angle_alpha 125.52
_cell_angle_beta 125.46
_cell_angle_gamma 80.73
loop_
_space_group_symop_operation_xyz
'x,y,z'
loop_
_atom_site_label
_atom_site_type_symbol
_atom_site_fract_x
_atom_site_fract_y
_atom_site_fract_z
Ba1 Ba 0.000 0.000 0.000
Ba2 Ba 0.500 0.500 0.000
Hg1 Hg 0.750 0.250 0.500
Te1 Te 0.250 0.750 0.500
# Final energy in eV per atom: -2.721
# Energy relative to the elements, uncorrected in eV per atom: -0.8992
# Theoretical density in g/cm³: 6.59
# Symmetry: I4/mmm


# Ba2HgTe (PBE-GGA, relaxed)
data_Ba2HgTe
_chemical_formula_sum 'Ba2 Hg1 Te1'
_space_group_name_H-M_alt 'P 1'
_space_group_IT_number 1
_cell_length_a 7.376
_cell_length_b 7.376
_cell_length_c 7.376
_cell_angle_alpha 140.72
_cell_angle_beta 140.72
_cell_angle_gamma 56.77
loop_
_space_group_symop_operation_xyz
'x,y,z'
loop_
_atom_site_label
_atom_site_type_symbol
_atom_site_fract_x
_atom_site_fract_y
_atom_site_fract_z
Ba1 Ba 0.000 0.000 0.000
Ba2 Ba 0.250 0.750 0.500
Hg1 Hg 0.500 0.500 0.000
Te1 Te 0.750 0.250 0.500
# Final energy in eV per atom: -2.712
# Energy relative to the elements, uncorrected in eV per atom: -0.8901
# Theoretical density in g/cm³: 6.27
# Symmetry: I-4m2


# Ba2HgTe (PBE-GGA, relaxed)
data_Ba2HgTe
_chemical_formula_sum 'Ba2 Hg1 Te1'
_space_group_name_H-M_alt 'P 1'
_space_group_IT_number 1
_cell_length_a 5.912
_cell_length_b 5.912
_cell_length_c 4.342
_cell_angle_alpha 89.93
_cell_angle_beta 89.93
_cell_angle_gamma 90.08
loop_
_space_group_symop_operation_xyz
'x,y,z'
loop_
_atom_site_label
_atom_site_type_symbol
_atom_site_fract_x
_atom_site_fract_y
_atom_site_fract_z
Ba1 Ba 0.000 0.000 0.000
Ba2 Ba 0.500 0.500 0.000
Hg1 Hg 0.500 0.000 0.500
Te1 Te 0.000 0.500 0.500
# Final energy in eV per atom: -2.823
# Energy relative to the elements, uncorrected in eV per atom: -1.0006
# Theoretical density in g/cm³: 6.60
# Symmetry: C2/m


# Ba2HgTe (PBE-GGA, relaxed)
data_Ba2HgTe
_chemical_formula_sum 'Ba2 Hg1 Te1'
_space_group_name_H-M_alt 'P 1'
_space_group_IT_number 1
_cell_length_a 4.319
_cell_length_b 4.319
_cell_length_c 8.216
_cell_angle_alpha 90.00
_cell_angle_beta 90.00
_cell_angle_gamma 90.00
loop_
_space_group_symop_operation_xyz
'x,y,z'
loop_
_atom_site_label
_atom_site_type_symbol
_atom_site_fract_x
_atom_site_fract_y
_atom_site_fract_z
Te1 Te 0.500 0.500 0.500
Hg1 Hg 0.500 0.500 0.000
Ba1 Ba 0.000 0.000 0.746
Ba2 Ba 0.000 0.000 0.254
# Final energy in eV per atom: -2.851
# Energy relative to the elements, uncorrected in eV per atom: -1.0289
# Theoretical density in g/cm³: 6.53
# Symmetry: P4/mmm


# Ba2HgTe (PBE-GGA, relaxed)
data_Ba2HgTe
_chemical_formula_sum 'Ba2 Hg1 Te1'
_space_group_name_H-M_alt 'P 1'
_space_group_IT_number 1
_cell_length_a 5.987
_cell_length_b 5.987
_cell_length_c 5.987
_cell_angle_alpha 60.00
_cell_angle_beta 60.00
_cell_angle_gamma 60.00
loop_
_space_group_symop_operation_xyz
'x,y,z'
loop_
_atom_site_label
_atom_site_type_symbol
_atom_site_fract_x
_atom_site_fract_y
_atom_site_fract_z
Te1 Te 0.000 0.000 0.000
Hg1 Hg 0.500 0.500 0.500
Ba1 Ba 0.250 0.250 0.250
Ba2 Ba 0.750 0.750 0.750
# Final energy in eV per atom: -2.721
# Energy relative to the elements, uncorrected in eV per atom: -0.8992
# Theoretical density in g/cm³: 6.60
# Symmetry: Fm-3m


# BaHgTe (PBE-GGA, relaxed)
data_BaHgTe
_chemical_formula_sum 'Ba1 Hg1 Te1'
_space_group_name_H-M_alt 'P 1'
_space_group_IT_number 1
_cell_length_a 5.143
_cell_length_b 5.143
_cell_length_c 5.071
_cell_angle_alpha 90.00
_cell_angle_beta 90.00
_cell_angle_gamma 120.00
loop_
_space_group_symop_operation_xyz
'x,y,z'
loop_
_atom_site_label
_atom_site_type_symbol
_atom_site_fract_x
_atom_site_fract_y
_atom_site_fract_z
Ba1 Ba 0.000 0.000 0.011
Hg1 Hg 0.667 0.333 0.351
Te1 Te 0.333 0.667 0.639
# Final energy in eV per atom: -2.805
# Energy relative to the elements, uncorrected in eV per atom: -1.0163
# Theoretical density in g/cm³: 6.66
# Symmetry: P3m1


# BaHg2Te2 (PBE-GGA, relaxed)
data_BaHg2Te2
_chemical_formula_sum 'Ba1 Hg2 Te2'
_space_group_name_H-M_alt 'P 1'
_space_group_IT_number 1
_cell_length_a 5.752
_cell_length_b 5.752
_cell_length_c 6.523
_cell_angle_alpha 63.84
_cell_angle_beta 63.84
_cell_angle_gamma 90.00
loop_
_space_group_symop_operation_xyz
'x,y,z'
loop_
_atom_site_label
_atom_site_type_symbol
_atom_site_fract_x
_atom_site_fract_y
_atom_site_fract_z
Te1 Te 0.750 0.250 0.500
Te2 Te 0.250 0.750 0.500
Hg1 Hg 0.366 0.366 0.268
Hg2 Hg 0.634 0.634 0.732
Ba1 Ba 0.000 0.000 0.000
# Final energy in eV per atom: -2.387
# Energy relative to the elements, uncorrected in eV per atom: -0.6249
# Theoretical density in g/cm³: 7.81
# Symmetry: I4/mmm


# BaHgTe (PBE-GGA, relaxed)
data_BaHgTe
_chemical_formula_sum 'Ba2 Hg2 Te2'
_space_group_name_H-M_alt 'P 1'
_space_group_IT_number 1
_cell_length_a 5.933
_cell_length_b 8.963
_cell_length_c 6.931
_cell_angle_alpha 90.37
_cell_angle_beta 90.00
_cell_angle_gamma 109.33
loop_
_space_group_symop_operation_xyz
'x,y,z'
loop_
_atom_site_label
_atom_site_type_symbol
_atom_site_fract_x
_atom_site_fract_y
_atom_site_fract_z
Te1 Te 0.801 0.602 0.751
Te2 Te 0.199 0.398 0.249
Hg1 Hg 0.010 0.020 0.250
Hg2 Hg 0.990 0.980 0.750
Ba1 Ba 0.800 0.601 0.251
Ba2 Ba 0.200 0.399 0.749
# Final energy in eV per atom: -2.780
# Energy relative to the elements, uncorrected in eV per atom: -0.9909
# Theoretical density in g/cm³: 4.45
# Symmetry: C2/m


# Ba3HgTe (PBE-GGA, relaxed)
data_Ba3HgTe
_chemical_formula_sum 'Ba3 Hg1 Te1'
_space_group_name_H-M_alt 'P 1'
_space_group_IT_number 1
_cell_length_a 6.624
_cell_length_b 6.624
_cell_length_c 6.624
_cell_angle_alpha 90.00
_cell_angle_beta 90.00
_cell_angle_gamma 90.00
loop_
_space_group_symop_operation_xyz
'x,y,z'
loop_
_atom_site_label
_atom_site_type_symbol
_atom_site_fract_x
_atom_site_fract_y
_atom_site_fract_z
Te1 Te 0.000 0.000 0.000
Hg1 Hg 0.500 0.500 0.500
Ba1 Ba 0.000 0.500 0.000
Ba2 Ba 0.000 0.000 0.500
Ba3 Ba 0.500 0.000 0.000
# Final energy in eV per atom: -2.353
# Energy relative to the elements, uncorrected in eV per atom: -0.5107
# Theoretical density in g/cm³: 4.23
# Symmetry: Pm-3m


# Ba2HgTe (PBE-GGA, relaxed)
data_Ba2HgTe
_chemical_formula_sum 'Ba2 Hg1 Te1'
_space_group_name_H-M_alt 'P 1'
_space_group_IT_number 1
_cell_length_a 5.946
_cell_length_b 5.946
_cell_length_c 5.946
_cell_angle_alpha 60.00
_cell_angle_beta 60.00
_cell_angle_gamma 60.00
loop_
_space_group_symop_operation_xyz
'x,y,z'
loop_
_atom_site_label
_atom_site_type_symbol
_atom_site_fract_x
_atom_site_fract_y
_atom_site_fract_z
Ba1 Ba 0.000 0.000 0.000
Ba2 Ba 0.250 0.250 0.250
Hg1 Hg 0.500 0.500 0.500
Te1 Te 0.750 0.750 0.750
# Final energy in eV per atom: -2.322
# Energy relative to the elements, uncorrected in eV per atom: -0.4999
# Theoretical density in g/cm³: 6.73
# Symmetry: F-43m


# Ba2HgTe (PBE-GGA, relaxed)
data_Ba2HgTe
_chemical_formula_sum 'Ba2 Hg1 Te1'
_space_group_name_H-M_alt 'P 1'
_space_group_IT_number 1
_cell_length_a 4.828
_cell_length_b 4.828
_cell_length_c 9.188
_cell_angle_alpha 74.77
_cell_angle_beta 74.77
_cell_angle_gamma 60.00
loop_
_space_group_symop_operation_xyz
'x,y,z'
loop_
_atom_site_label
_atom_site_type_symbol
_atom_site_fract_x
_atom_site_fract_y
_atom_site_fract_z
Ba1 Ba 0.080 0.080 0.759
Ba2 Ba 0.254 0.254 0.237
Hg1 Hg 0.499 0.499 0.503
Te1 Te 0.666 0.666 0.001
# Final energy in eV per atom: -2.828
# Energy relative to the elements, uncorrected in eV per atom: -1.0060
# Theoretical density in g/cm³: 5.66
# Symmetry: R3m


# Ba4HgTe (PBE-GGA, relaxed)
data_Ba4HgTe
_chemical_formula_sum 'Ba4 Hg1 Te1'
_space_group_name_H-M_alt 'P 1'
_space_group_IT_number 1
_cell_length_a 7.324
_cell_length_b 7.324
_cell_length_c 7.324
_cell_angle_alpha 60.00
_cell_angle_beta 60.00
_cell_angle_gamma 60.00
loop_
_space_group_symop_operation_xyz
'x,y,z'
loop_
_atom_site_label
_atom_site_type_symbol
_atom_site_fract_x
_atom_site_fract_y
_atom_site_fract_z
Ba1 Ba 0.878 0.374 0.374
Ba2 Ba 0.374 0.374 0.878
Ba3 Ba 0.374 0.878 0.374
Ba4 Ba 0.374 0.374 0.374
Hg1 Hg 0.750 0.750 0.750
Te1 Te 0.000 0.000 0.000
# Final energy in eV per atom: -1.848
# Energy relative to the elements, uncorrected in eV per atom: 0.0081
# Theoretical density in g/cm³: 5.25
# Symmetry: F-43m